Entry 1:
Material: CsTlCrCl6
Method: DFT, PBE
State: relaxed

The structure in extended XYZ format:
```
9
Lattice="7.045 0.000 -0.002 3.521 6.102 0.003 0.000 -0.002 7.408" Properties=species:S:1:pos:R:3 pbc="T T T"
Cs 0.001 0.000 0.001
Tl 7.044 4.068 3.706
Cr 3.521 2.033 3.704
Cl 1.617 2.064 2.339
Cl 2.594 0.369 5.069
Cl 5.426 2.059 5.068
Cl 2.546 3.667 5.072
Cl 4.498 3.669 2.340
Cl 4.446 0.371 2.336
```

Symmetry: P312 (149)
Formation energy (no corrections), eV/f.u.: -10.866

=====

Entry 2:
Material: IrRuPt3
Method: DFT, PBE
State: relaxed

The structure in extended XYZ format:
```
5
Lattice="4.765 0.000 0.000 0.000 4.765 0.000 0.000 0.000 4.765" Properties=species:S:1:pos:R:3 pbc="T T T"
Ru 2.382 2.382 2.382
Ir 0.000 0.000 0.000
Pt 0.000 2.382 0.000
Pt 0.000 0.000 2.382
Pt 2.382 0.000 0.000
```

Symmetry: Pm-3m (221)
Energy of formation, meV per atom: 1867

=====

Entry 3:
Material: LaNdSmMg
Method: DFT, PBE
State: relaxed

The structure in extended XYZ format:
```
4
Lattice="-3.010 1.336 1.856 -2.102 -0.408 -3.116 -2.164 -8.436 2.564" Properties=species:S:1:pos:R:3 pbc="T T T"
La -0.148 -0.579 0.176
Nd -3.311 -2.478 0.264
Sm -4.272 -6.226 1.403
Mg -1.243 -4.845 1.472
```

Symmetry: P4mm (99)
Polymorph energy (0 for the lowest one), meV per atom: 0.0
Energy of formation, meV per atom: -39

=====

Entry 4:
Material: Sc2BiS
Method: DFT, PBE
State: relaxed

The structure in extended XYZ format:
```
4
Lattice="0.000 3.526 3.526 3.526 0.000 3.526 3.526 3.526 0.000" Properties=species:S:1:pos:R:3 pbc="T T T"
Sc 1.763 1.763 1.763
Sc 5.288 5.288 5.288
S 0.000 0.000 0.000
Bi 3.526 3.526 3.526
```

Symmetry: Fm-3m (225)
Formation energy (no corrections), eV/f.u.: -3.004
Polymorph energy (0 for the lowest one), meV per atom: 458.0

=====

Entry 5:
Material: LiTm3Al2
Method: DFT, PBE
State: relaxed

The structure in extended XYZ format:
```
12
Lattice="-2.305 0.139 -4.495 1.973 -4.333 1.695 -10.796 -2.784 5.449" Properties=species:S:1:pos:R:3 pbc="T T T"
Li -6.691 -4.708 3.284
Li -4.438 -2.269 -0.636
Tm -3.943 -4.000 1.898
Tm -1.772 -1.582 -1.981
Tm -8.129 -2.096 4.103
Tm -2.667 -0.688 1.346
Tm -9.357 -5.396 4.630
Tm -7.185 -2.977 0.751
Al -5.398 -1.392 2.724
Al -1.311 -3.321 0.569
Al -9.818 -3.656 2.079
Al 0.000 0.000 0.000
```

Symmetry: P-3m1 (164)
Polymorph energy (0 for the lowest one), meV per atom: 0.0
Energy of formation, meV per atom: -277

=====

Entry 6:
Material: CeEr6Tl5
Method: DFT, PBE
State: relaxed

The structure in extended XYZ format:
```
12
Lattice="6.167 0.252 0.000 1.906 10.254 0.000 0.953 5.127 5.511" Properties=species:S:1:pos:R:3 pbc="T T T"
Ce 0.000 0.000 0.000
Er 5.088 2.931 1.912
Er 2.986 7.574 1.912
Er 1.980 2.811 0.000
Er 6.093 7.694 0.000
Er 6.041 8.058 3.599
Er 3.939 12.701 3.599
Tl 4.037 5.253 3.888
Tl 0.953 5.127 2.082
Tl 4.037 5.253 0.000
Tl 1.906 10.254 3.429
Tl 4.990 10.379 1.623
```

Symmetry: C2/m (12)
Energy of formation, meV per atom: -156

=====

Entry 7:
Material: In4SbMo
Method: DFT, PBE
State: relaxed

The structure in extended XYZ format:
```
6
Lattice="0.000 4.131 4.131 4.131 0.000 4.131 4.131 4.131 0.000" Properties=species:S:1:pos:R:3 pbc="T T T"
In 3.103 5.160 5.160
In 5.160 5.160 3.103
In 5.160 3.103 5.160
In 3.103 3.103 3.103
Sb 0.000 0.000 0.000
Mo 6.197 6.197 6.197
```

Symmetry: F-43m (216)
Formation energy (no corrections), eV/f.u.: 3.987

=====

Entry 8:
Material: YIn2Cl
Method: DFT, PBE
State: relaxed

The structure in extended XYZ format:
```
4
Lattice="6.456 0.022 0.004 2.934 5.751 -0.004 -3.853 -4.257 2.953" Properties=species:S:1:pos:R:3 pbc="T T T"
Cl 2.269 2.424 1.475
In 9.379 5.766 0.000
In 3.486 -0.775 1.478
Y 4.490 2.760 0.000
```

Symmetry: Imm2 (44)
Formation energy (no corrections), eV/f.u.: -2.619
Polymorph energy (0 for the lowest one), meV per atom: 76.9

=====

Entry 9:
Material: NaPaRe2O8
Method: DFT, PBE
State: relaxed

The structure in extended XYZ format:
```
12
Lattice="5.966 0.000 0.000 -2.983 5.167 0.000 0.000 0.000 6.949" Properties=species:S:1:pos:R:3 pbc="T T T"
Na 0.000 0.000 0.000
Pa 0.000 0.000 3.474
Re 2.983 1.722 1.369
Re 0.000 3.444 5.579
O 0.000 3.444 0.386
O 1.480 0.860 2.084
O 4.481 0.852 2.084
O 2.983 1.722 6.562
O -1.498 4.315 4.865
O 1.503 4.306 4.865
O -0.005 1.712 4.865
O 2.988 3.454 2.084
```

Symmetry: P-3m1 (164)
Formation energy (no corrections), eV/f.u.: -22.953

=====

Entry 10:
Material: ScCd2Fe
Method: DFT, PBE
State: relaxed

The structure in extended XYZ format:
```
4
Lattice="5.104 -0.069 0.000 1.593 4.850 0.000 -3.349 -2.390 3.022" Properties=species:S:1:pos:R:3 pbc="T T T"
Cd 0.000 0.000 0.000
Cd 0.797 2.425 1.511
Fe 3.349 2.390 0.000
Sc 2.552 -0.035 1.511
```

Symmetry: I-4m2 (119)
Energy of formation, meV per atom: 94

=====

Entry 11:
Material: HfNbReOs
Method: DFT, PBE
State: relaxed

The structure in extended XYZ format:
```
4
Lattice="-1.500 -1.820 2.201 -0.754 -2.146 -2.288 5.530 -3.168 1.148" Properties=species:S:1:pos:R:3 pbc="T T T"
Hf 2.230 -3.906 0.654
Nb -0.513 -2.335 0.084
Re 1.926 -1.103 0.400
Os 4.764 -2.729 0.989
```

Symmetry: P4mm (99)
Polymorph energy (0 for the lowest one), meV per atom: 0.0
Energy of formation, meV per atom: -427

=====

no.,calculated total energy (eV/atom)
1,-3.87
2,-5.39
3,-4.04
4,-5.92
5,-4.08
6,-3.92
7,-3.65
8,-4.10
9,-8.19
10,-4.06
11,-11.35